## CrCuHgI2 (GGA-PBE)

Data for a relaxed CrCuHgI2 crystal.

a b c (Å): 5.403 5.403 5.221
angles (deg): 90.00 90.00 90.00
Sites, in units of the cell vectors:
Cr  0.000  0.000  0.000
Cu  0.000  0.000  0.500
Hg  0.500  0.500  0.000
I  0.000  0.500  0.500
I  0.500  0.000  0.500

Symmetry = P4/mmm
Formation energy from raw total energies = 0.47 eV/atom
Total moment = 4.91 Bohr magnetons per cell
DOS(E_F) = 0.17 states/eV per atom